Compound: MgScAgCl6
Source: the Alexandria database
Functional: PBE
Structure: optimized geometry

a b c (Å): 6.4498 6.4498 12.1617
angles (deg): 90.00 90.00 120.00
Closest atoms and distances in Å follow each position.
Element x y z (fractional)
Mg1 0.3333 0.6667 0.2500  6 Cl 2.52
Mg2 0.6667 0.3333 0.7500  6 Cl 2.52
Sc1 0.3333 0.6667 0.7500  6 Cl 2.51
Sc2 0.6667 0.3333 0.2500  6 Cl 2.51
Ag1 0.0000 0.0000 0.0000  6 Cl 2.82
Ag2 0.0000 0.0000 0.5000  6 Cl 2.82
Cl1 0.0016 0.3581 0.6336  1 Sc 2.51, 1 Mg 2.52
Cl2 0.0016 0.6434 0.8664  1 Sc 2.51, 1 Mg 2.52
Cl3 0.3566 0.3581 0.8664  1 Sc 2.51, 1 Mg 2.52
Cl4 0.3566 0.9984 0.6336  1 Sc 2.51, 1 Mg 2.52
Cl5 0.3581 0.0016 0.1336  1 Sc 2.51, 1 Mg 2.52
Cl6 0.3581 0.3566 0.3664  1 Sc 2.51, 1 Mg 2.52
Cl7 0.6419 0.6434 0.6336  1 Sc 2.51, 1 Mg 2.52
Cl8 0.6419 0.9984 0.8664  1 Sc 2.51, 1 Mg 2.52
Cl9 0.6434 0.0016 0.3664  1 Sc 2.51, 1 Mg 2.52
Cl10 0.6434 0.6419 0.1336  1 Sc 2.51, 1 Mg 2.52
Cl11 0.9984 0.3566 0.1336  1 Sc 2.51, 1 Mg 2.52
Cl12 0.9984 0.6419 0.3664  1 Sc 2.51, 1 Mg 2.52

- Space-group type: P-31c
- DOS at the Fermi energy: 0.00 states/eV per atom
- ΔE_f (raw): -158 kJ per mole of atoms
- Total energy: -4.071 eV per atom
- Crystal system: trigonal